Record 1
{"formula": "Dy12TmTh5", "functional": "PBE", "state": "relaxed", "lattice": [[14.999, -0.004, -0.005], [7.498, 7.550, -0.003], [0.002, 0.000, 5.047]], "species": ["Dy", "Dy", "Dy", "Dy", "Dy", "Dy", "Dy", "Dy", "Dy", "Dy", "Dy", "Dy", "Tm", "Th", "Th", "Th", "Th", "Th"], "frac_coords": [[0.830, 0.666, 0.500], [0.505, 0.666, 0.500], [0.997, 0.332, 0.000], [0.671, 0.332, 0.000], [0.003, 0.668, 0.000], [0.170, 0.334, 0.500], [0.662, 0.000, 0.000], [0.834, 0.000, 0.500], [0.338, 0.000, 0.000], [0.166, 0.000, 0.500], [0.495, 0.334, 0.500], [0.329, 0.668, 0.000], [0.000, 0.000, 0.000], [0.668, 0.664, 0.000], [0.500, 0.000, 0.500], [0.834, 0.331, 0.500], [0.166, 0.669, 0.500], [0.332, 0.336, 0.000]], "formation_enthalpy_0k_ev_per_atom": 0.027}

Record 2
{"formula": "Be4SiSe", "functional": "PBE", "state": "relaxed", "lattice": [[4.121, -0.519, 1.960], [1.830, 3.433, 2.442], [0.343, -0.358, 4.566]], "species": ["Se", "Be", "Be", "Be", "Be", "Si"], "frac_coords": [[0.750, 0.750, 0.750], [0.373, 0.373, 0.882], [0.373, 0.882, 0.373], [0.373, 0.373, 0.373], [0.882, 0.373, 0.373], [0.000, 0.000, 0.000]], "dft_energy_ev_per_atom": -3.48}

Record 3
{"formula": "Ho2Tm3S8", "functional": "PBE", "state": "relaxed", "lattice": [[6.608, 0.000, 0.169], [0.000, 7.815, 0.000], [-2.478, -3.908, 6.307]], "species": ["S", "S", "S", "S", "S", "S", "S", "S", "Tm", "Tm", "Tm", "Ho", "Ho"], "frac_coords": [[0.587, 0.642, 0.754], [0.413, 0.358, 0.246], [0.073, 0.884, 0.768], [0.927, 0.116, 0.232], [0.088, 0.381, 0.762], [0.413, 0.889, 0.246], [0.912, 0.619, 0.238], [0.587, 0.111, 0.754], [0.000, 0.262, 0.000], [0.000, 0.738, 0.000], [0.500, 0.000, 0.000], [0.341, 0.262, 0.524], [0.659, 0.738, 0.476]], "dft_energy_ev_per_atom": -6.16}

Record 4
{"formula": "MnInW2", "functional": "PBE", "state": "relaxed", "lattice": [[-0.350, -1.688, 2.215], [0.065, -1.561, -2.333], [8.759, -0.795, 0.776]], "species": ["Mn", "W", "W", "In"], "frac_coords": [[0.500, 0.500, 0.765], [0.500, 0.500, 0.235], [0.000, 0.000, 0.987], [0.000, 0.000, 0.512]], "formation_enthalpy_0k_ev_per_atom": 0.324}

Record 5
{"formula": "PmNdAgRh", "functional": "PBE", "state": "relaxed", "lattice": [[5.133, 0.000, 0.000], [2.566, 4.445, 0.000], [2.566, 1.482, 4.191]], "species": ["Rh", "Ag", "Pm", "Nd"], "frac_coords": [[0.750, 0.750, 0.750], [0.250, 0.250, 0.250], [0.500, 0.500, 0.500], [0.000, 0.000, 0.000]], "e_above_lowest_polymorph_mev_per_atom": 27, "formation_enthalpy_0k_ev_per_atom": -0.451}

Record 6
{"formula": "K3RbTh2Se6", "functional": "PBE", "state": "relaxed", "lattice": [[4.434, 0.000, 0.000], [0.000, 9.507, 0.322], [-2.217, -2.766, 9.614]], "species": ["Se", "Se", "Se", "Se", "Se", "Se", "Rb", "K", "K", "K", "Th", "Th"], "frac_coords": [[0.323, 0.864, 0.646], [0.322, 0.446, 0.644], [0.977, 0.728, 0.954], [0.023, 0.272, 0.046], [0.677, 0.136, 0.354], [0.678, 0.554, 0.356], [0.500, 0.000, 0.000], [0.845, 0.167, 0.689], [0.155, 0.833, 0.311], [0.500, 0.500, 0.000], [0.834, 0.667, 0.669], [0.166, 0.333, 0.331]], "dft_energy_ev_per_atom": -4.89}

Record 7
{"formula": "ZrCo2BC", "functional": "PBE", "state": "relaxed", "lattice": [[-3.153, 0.588, 0.883], [0.520, -5.175, -0.964], [1.533, -0.988, 6.134]], "species": ["Co", "Co", "Co", "Co", "Zr", "Zr", "B", "B", "C", "C"], "frac_coords": [[0.827, 0.654, 0.438], [0.173, 0.346, 0.938], [0.173, 0.346, 0.562], [0.827, 0.654, 0.062], [0.547, 0.095, 0.250], [0.453, 0.905, 0.750], [0.733, 0.466, 0.750], [0.267, 0.534, 0.250], [0.000, 0.000, 0.000], [0.000, 0.000, 0.500]], "formation_enthalpy_0k_ev_per_atom": -0.404}

Record 8
{"formula": "MnAuSe2", "functional": "PBE", "state": "relaxed", "lattice": [[5.492, 0.001, -0.001], [-2.745, 5.938, -0.102], [0.000, 3.259, 5.198]], "species": ["Mn", "Mn", "Au", "Au", "Se", "Se", "Se", "Se"], "frac_coords": [[0.944, 0.476, 0.636], [0.444, 0.476, 0.636], [0.284, 0.656, 0.172], [0.603, 0.295, 0.353], [0.557, 0.202, 0.985], [0.046, 0.181, 0.596], [0.330, 0.749, 0.712], [0.841, 0.770, 0.302]], "dft_energy_ev_per_atom": -5.00}

Record 9
{"formula": "LiReTe2", "functional": "PBE", "state": "relaxed", "lattice": [[0.656, -9.368, 1.740], [0.260, -9.435, -1.466], [3.205, -8.995, -0.210]], "species": ["Li", "Re", "Te", "Te"], "frac_coords": [[0.500, 0.500, 0.500], [0.000, 0.000, 0.000], [0.908, 0.908, 0.908], [0.092, 0.092, 0.092]], "e_above_lowest_polymorph_mev_per_atom": 485}

Record 10
{"formula": "Cs2Cd4Ni", "functional": "PBE", "state": "relaxed", "lattice": [[5.275, 0.000, 0.000], [0.000, 5.275, 0.000], [2.637, 2.637, 9.863]], "species": ["Cs", "Cs", "Cd", "Cd", "Cd", "Cd", "Ni"], "frac_coords": [[0.341, 0.341, 0.318], [0.659, 0.659, 0.682], [0.873, 0.873, 0.254], [0.127, 0.127, 0.746], [0.000, 0.500, 0.000], [0.500, 0.000, 0.000], [0.000, 0.000, 0.000]], "formation_enthalpy_0k_ev_per_atom": 0.016}

Record 11
{"formula": "Pm2Sn4PdAu3", "functional": "PBE", "state": "relaxed", "lattice": [[4.578, 0.000, 0.000], [0.000, 4.578, 0.000], [0.000, 0.000, 11.457]], "species": ["Pm", "Pm", "Au", "Au", "Au", "Pd", "Sn", "Sn", "Sn", "Sn"], "frac_coords": [[0.500, 0.000, 0.274], [0.000, 0.500, 0.726], [0.000, 0.000, 0.500], [0.500, 0.000, 0.857], [0.000, 0.500, 0.143], [0.500, 0.500, 0.500], [0.000, 0.500, 0.373], [0.000, 0.000, 0.000], [0.500, 0.500, 0.000], [0.500, 0.000, 0.627]], "formation_enthalpy_0k_ev_per_atom": -0.578}

Record 12
{"formula": "Cr2SiW", "functional": "PBE", "state": "relaxed", "lattice": [[-0.502, 2.566, 3.159], [-4.040, 0.072, -0.700], [-0.372, -2.409, 1.898]], "species": ["Si", "Cr", "Cr", "W"], "frac_coords": [[0.500, 0.000, 0.500], [0.500, 0.500, 0.000], [0.000, 0.000, 0.000], [0.000, 0.500, 0.500]], "dft_energy_ev_per_atom": -9.51}